Computed, not measured: a relaxed structure of Tb3PmDy4Se8 at the PBE-GGA level of DFT.

a b c (Å): 8.1951 8.1951 20.0955
angles (deg): 90.00 90.00 120.00
Closest atoms and distances in Å follow each position.
Space group R-3m (No. 166, hexagonal axes)
Symmetry-distinct sites (fractional):
Tb: 0.0000 0.5000 0.0000 [9 per cell]  6 Se 2.91
Pm: 0.0000 0.0000 0.0000 [3 per cell]  6 Se 2.94
Dy: 0.0000 0.0000 0.5000 [3 per cell]  6 Se 2.85
Dy: 0.0000 0.5000 0.5000 [9 per cell]  6 Se 2.89
Se: 0.0000 0.0000 0.2493 [6 per cell]  3 Dy 2.89, 3 Tb 2.91
Se: 0.0042 0.5021 0.2482 [18 per cell]  3 Dy 2.85-2.89, 2 Tb 2.91, 1 Pm 2.94

Computed, not measured: a relaxed structure of Tb4PmDySe8 at the PBE-GGA level of DFT.

a b c (Å): 8.4831 8.4831 20.7548
angles (deg): 90.00 90.00 120.00
Closest atoms and distances in Å follow each position.
Space group R3m (No. 160, hexagonal axes)
Symmetry-distinct sites (fractional):
Tb: 0.0000 0.0000 0.0000 [3 per cell]  4 Se 2.74-2.75
Tb: 0.0015 0.5007 0.8754 [9 per cell]  6 Se 2.90-2.91
Pm: 0.0000 0.0000 0.7504 [3 per cell]  4 Se 2.80
Dy: 0.0000 0.0000 0.3749 [3 per cell]  6 Se 2.88-2.90
Se: 0.0000 0.0000 0.1322 [3 per cell]  4 Tb 2.74-2.91
Se: 0.0000 0.0000 0.6157 [3 per cell]  1 Pm 2.80, 3 Tb 2.90
Se: 0.0266 0.5133 0.1281 [9 per cell]  1 Pm 2.80, 1 Dy 2.88, 2 Tb 2.90
Se: 0.1768 0.3536 0.9567 [9 per cell]  3 Tb 2.75-2.91, 1 Dy 2.90

Computed, not measured: a relaxed structure of Tb2PmDySe4 at the PBE-GGA level of DFT.

a b c (Å): 7.1260 4.0656 7.1947
angles (deg): 90.00 108.86 90.00
Closest atoms and distances in Å follow each position.
Space group P2/m (No. 10)
Symmetry-distinct sites (fractional):
Tb: 0.0000 0.0000 0.0000 [1 per cell]  6 Se 2.87-2.88
Tb: 0.0000 0.5000 0.5000 [1 per cell]  6 Se 2.92
Pm: 0.5000 0.0000 0.5000 [1 per cell]  6 Se 2.95
Dy: 0.5000 0.5000 0.0000 [1 per cell]  6 Se 2.90
Se: 0.2445 0.5000 0.2431 [2 per cell]  3 Tb 2.87-2.92, 1 Dy 2.90, 2 Pm 2.95
Se: 0.2484 0.0000 0.7545 [2 per cell]  3 Tb 2.88-2.92, 2 Dy 2.90, 1 Pm 2.95

Computed, not measured: a relaxed structure of TbPmDy4Se8 at the PBE-GGA level of DFT.

a b c (Å): 8.4564 8.4564 20.7422
angles (deg): 90.00 90.00 120.00
Closest atoms and distances in Å follow each position.
Space group R3m (No. 160, hexagonal axes)
Symmetry-distinct sites (fractional):
Tb: 0.0000 0.0000 0.0000 [3 per cell]  6 Se 2.90-2.91
Pm: 0.0000 0.0000 0.6249 [3 per cell]  4 Se 2.80
Dy: 0.0000 0.0000 0.3744 [3 per cell]  4 Se 2.73-2.74
Dy: 0.1675 0.3351 0.8326 [9 per cell]  6 Se 2.88-2.90
Se: 0.0000 0.0000 0.2423 [3 per cell]  4 Dy 2.74-2.90
Se: 0.0000 0.0000 0.7598 [3 per cell]  1 Pm 2.80, 3 Dy 2.88
Se: 0.0181 0.5091 0.7522 [9 per cell]  3 Dy 2.73-2.90, 1 Tb 2.91
Se: 0.1795 0.3590 0.5790 [9 per cell]  1 Pm 2.80, 2 Dy 2.88, 1 Tb 2.90

Computed, not measured: a relaxed structure of Tb4PmDy3Se8 at the PBE-GGA level of DFT.

a b c (Å): 8.2054 8.2054 20.0859
angles (deg): 90.00 90.00 120.00
Closest atoms and distances in Å follow each position.
Space group R-3m (No. 166, hexagonal axes)
Symmetry-distinct sites (fractional):
Tb: 0.0000 0.0000 0.0000 [3 per cell]  6 Se 2.86
Tb: 0.0000 0.5000 0.0000 [9 per cell]  6 Se 2.91
Pm: 0.0000 0.0000 0.5000 [3 per cell]  6 Se 2.94
Dy: 0.0000 0.5000 0.5000 [9 per cell]  6 Se 2.89
Se: 0.0000 0.0000 0.2493 [6 per cell]  3 Dy 2.89, 3 Tb 2.91
Se: 0.0052 0.5026 0.7494 [18 per cell]  3 Tb 2.86-2.91, 2 Dy 2.89, 1 Pm 2.94

Computed, not measured: a relaxed structure of TbPmDy2Se6 at the PBE-GGA level of DFT.

a b c (Å): 7.2729 7.2729 19.5272
angles (deg): 90.00 90.00 120.00
Closest atoms and distances in Å follow each position.
Space group R3 (No. 146, hexagonal axes)
Symmetry-distinct sites (fractional):
Tb: 0.0000 0.0000 0.0000 [3 per cell]  6 Se 2.87-2.92
Pm: 0.0000 0.0000 0.5030 [3 per cell]  6 Se 2.91-3.00
Dy: 0.0000 0.0000 0.3045 [3 per cell]  6 Se 2.84-2.91
Dy: 0.0000 0.0000 0.8025 [3 per cell]  6 Se 2.85-2.91
Se: 0.0041 0.3081 0.4002 [9 per cell]  2 Dy 2.85-2.91, 1 Tb 2.87, 1 Pm 3.00
Se: 0.0136 0.7065 0.9006 [9 per cell]  2 Dy 2.84-2.91, 1 Pm 2.91, 1 Tb 2.92

Computed, not measured: a relaxed structure of TbPm3Dy2Se6 at the PBE-GGA level of DFT.

a b c (Å): 18.0915 4.1122 8.3443
angles (deg): 90.00 104.23 90.00
Closest atoms and distances in Å follow each position.
Space group C2/m (No. 12)
Symmetry-distinct sites (fractional):
Tb: 0.0000 0.0000 0.0000 [2 per cell]  6 Se 2.89
Pm: 0.0000 0.0000 0.5000 [2 per cell]  6 Se 2.97
Pm: 0.1661 0.5000 0.8333 [4 per cell]  6 Se 2.96-2.98
Dy: 0.1663 0.5000 0.3328 [4 per cell]  6 Se 2.87-2.88
Se: 0.0027 0.5000 0.2450 [4 per cell]  1 Dy 2.87, 2 Tb 2.89, 3 Pm 2.96-2.97
Se: 0.1649 0.0000 0.0902 [4 per cell]  2 Dy 2.88, 1 Tb 2.89, 3 Pm 2.97
Se: 0.1693 0.0000 0.5768 [4 per cell]  3 Dy 2.88, 3 Pm 2.97-2.98

Computed, not measured: a relaxed structure of PmDyTe2Se at the PBE-GGA level of DFT.

a b c (Å): 4.3513 4.3513 15.6475
angles (deg): 90.00 90.00 90.00
Closest atoms and distances in Å follow each position.
Space group P4/nmm (No. 129, origin choice 2)
Symmetry-distinct sites (fractional):
Pm: 0.2500 0.2500 0.1310 [2 per cell]  4 Se 2.99, 4 Te 3.32
Dy: 0.2500 0.2500 0.5904 [2 per cell]  6 Te 3.09-3.12
Te: 0.2500 0.2500 0.3911 [2 per cell]  5 Dy 3.09-3.12
Te: 0.2500 0.2500 0.7891 [2 per cell]  1 Dy 3.11, 4 Pm 3.32
Se: 0.2500 0.7500 0.0000 [2 per cell]  4 Pm 2.99, 4 Se 3.08

Computed, not measured: a relaxed structure of Pm2Dy2Te2Se3 at the PBE-GGA level of DFT.

a b c (Å): 5.6153 5.6153 15.9169
angles (deg): 90.00 90.00 90.00
Closest atoms and distances in Å follow each position.
Space group I4/mmm (No. 139)
Symmetry-distinct sites (fractional):
Pm: 0.0000 0.0000 0.1941 [4 per cell]  5 Se 2.95-3.09, 1 Te 3.19
Dy: 0.0000 0.5000 0.0000 [4 per cell]  2 Se 2.81
Te: 0.0000 0.0000 0.3946 [4 per cell]  1 Pm 3.19, 4 Dy 3.27, 1 Te 3.35
Se: 0.0000 0.0000 0.0000 [2 per cell]  4 Dy 2.81, 2 Pm 3.09
Se: 0.0000 0.5000 0.2500 [4 per cell]  4 Pm 2.95

Computed, not measured: a relaxed structure of PmDyTeSe at the PBE-GGA level of DFT.

a b c (Å): 4.1156 4.1156 22.8718
angles (deg): 90.00 90.00 120.00
Closest atoms and distances in Å follow each position.
Space group R3m (No. 160, hexagonal axes)
Symmetry-distinct sites (fractional):
Pm: 0.0000 0.0000 0.0000 [3 per cell]  3 Se 3.07, 3 Te 3.13
Dy: 0.0000 0.0000 0.1620 [3 per cell]  3 Se 2.96, 3 Te 3.03
Te: 0.0000 0.0000 0.5776 [3 per cell]  3 Dy 3.03, 3 Pm 3.13
Se: 0.0000 0.0000 0.7518 [3 per cell]  3 Dy 2.96, 3 Pm 3.07

Computed, not measured: a relaxed structure of Pm2Dy3ThSe6 at the PBE-GGA level of DFT.

a b c (Å): 18.1481 4.1112 8.3358
angles (deg): 90.00 104.75 90.00
Closest atoms and distances in Å follow each position.
Space group C2/m (No. 12)
Symmetry-distinct sites (fractional):
Pm: 0.1637 0.0000 0.3278 [4 per cell]  6 Se 2.94-3.00
Dy: 0.0000 0.5000 0.5000 [2 per cell]  6 Se 2.86-2.91
Dy: 0.1658 0.0000 0.8341 [4 per cell]  6 Se 2.85-2.90
Th: 0.0000 0.5000 0.0000 [2 per cell]  6 Se 2.99-3.00
Se: 0.0035 0.0000 0.7412 [4 per cell]  3 Dy 2.85-2.86, 1 Pm 2.94, 2 Th 2.99
Se: 0.1657 0.5000 0.5892 [4 per cell]  3 Dy 2.90-2.91, 3 Pm 2.99-3.00
Se: 0.1706 0.5000 0.0766 [4 per cell]  3 Dy 2.87, 2 Pm 2.96, 1 Th 3.00

Summary of E_tot in eV/atom
-5.82; -5.70; -5.85; -5.69; -5.82; -5.80; -5.88; -5.24; -5.37; -5.51; -6.04
(order as listed above)
Summary of energy relative to the elements, uncorrected in eV per atom
-1.7629; -1.7220; -1.7786; -1.7177; -1.7649; -1.8512; -1.7990; -1.4123; -1.4303; -1.5171; -1.7366
(order as listed above)